A relaxed structure of GaRh2WO, computed with PBE+U.

## Properties
The space group is P4/mmm (123). As for the calculated total energy: -4.254 eV/atom. For the density of states at the Fermi level, the calculation gives 4.001 states/eV/cell.

abc: 4.5025 5.0713 4.5025
angles: 90.00 90.00 90.00
Closest atoms and distances in Å follow each position.
Fractional coordinates of all 5 atoms:
1 O 0.5000 0.5000 0.5000  4 W 3.18, 8 Rh 3.39
2 Rh 0.0000 0.0000 0.5000  2 Ga 2.25
3 Rh 0.5000 0.0000 0.0000  2 Ga 2.25
4 Ga 0.0000 0.0000 0.0000  4 Rh 2.25
5 W 0.0000 0.5000 0.0000  2 Ga 2.54